The following is a GGA-PBE calculation of an optimized crystal structure of Sm3MnAg3Se8, from Alexandria.

Values from the calculation:
The calculation puts the spin magnetization at 3.15 μB/f.u. The space group is C2/m. The electronic total energy is -4.943 eV per atom.

Lattice parameters (Å, degrees): 8.2938 8.2927 8.1376 120.81 90.00 120.00
With the nearest neighbours (Å) after each atom.
Fractional coordinates of all 15 atoms:
Ag  0.0000  0.0000  0.0000  6 Se 2.89-2.90
Ag  0.5000  0.5000  0.0000  6 Se 2.87-2.91
Ag  0.0000  0.5000  0.0000  6 Se 2.87-2.91
Se  0.2222  0.4443  0.7274  1 Mn 2.57
Se  0.2502  0.5004  0.2518  3 Sm 2.89-2.90, 3 Ag 2.90-2.91
Se  0.7779  0.9936  0.2725  1 Mn 2.57, 1 Ag 2.87
Se  0.2157  0.9936  0.2725  1 Mn 2.57, 1 Ag 2.87
Se  0.7498  0.4996  0.7482  3 Sm 2.89-2.90, 3 Ag 2.90-2.91
Se  0.2221  0.0064  0.7275  1 Mn 2.57, 1 Ag 2.87
Se  0.7778  0.5557  0.2726  1 Mn 2.57
Se  0.7843  0.0064  0.7275  1 Mn 2.57, 1 Ag 2.87
Sm  0.5000  0.5000  0.5000  6 Se 2.90-2.96
Sm  0.0000  0.5000  0.5000  6 Se 2.90-2.96
Sm  0.5000  0.0000  0.5000  6 Se 2.89-2.96
Mn  0.0000  0.0000  0.5000  6 Se 2.57

The following is a GGA-PBE calculation of an optimized crystal structure of HfZr2Br, from Alexandria.

Values from the calculation:
The calculation puts the spin magnetization at 0.00 μB/f.u. The space group is I-42d. The electronic total energy is -6.772 eV per atom.

Lattice parameters (Å, degrees): 4.1895 4.1895 10.8703 78.89 78.89 90.00
With the nearest neighbours (Å) after each atom.
Fractional coordinates of all 8 atoms:
Hf  0.0000  0.0000  0.0000  4 Br 2.96, 4 Zr 3.01
Hf  0.7500  0.2500  0.5000  4 Br 2.96, 4 Zr 3.01
Br  0.5000  0.5000  0.0000  4 Hf 2.96, 4 Zr 3.00
Br  0.2500  0.7500  0.5000  4 Hf 2.96, 4 Zr 3.00
Zr  0.3750  0.3788  0.7500  4 Zr 2.94-2.98, 2 Br 3.00, 2 Hf 3.01
Zr  0.8750  0.8712  0.7500  4 Zr 2.94-2.98, 2 Br 3.00, 2 Hf 3.01
Zr  0.1288  0.6250  0.2500  4 Zr 2.94-2.98, 2 Br 3.00, 2 Hf 3.01
Zr  0.6212  0.1250  0.2500  4 Zr 2.94-2.98, 2 Br 3.00, 2 Hf 3.01

The following is a GGA-PBE calculation of an optimized crystal structure of Mg2CoHg, from Alexandria.

Values from the calculation:
The calculation puts the spin magnetization at 0.00 μB/f.u. The space group is P4/mmm. Its formation energy from the elements is 0 meV/atom.

Lattice parameters (Å, degrees): 3.1647 3.1647 6.9244 90.00 90.00 90.00
With the nearest neighbours (Å) after each atom.
Fractional coordinates of all 4 atoms:
Mg  0.0000  0.0000  0.4572  4 Co 2.66, 1 Mg 2.87
Mg  0.0000  0.0000  0.0428  4 Co 2.66, 1 Mg 2.87
Co  0.5000  0.5000  0.2500  8 Mg 2.66
Hg  0.5000  0.5000  0.7500  8 Mg 3.02, 4 Hg 3.16

The following is a GGA-PBE calculation of an optimized crystal structure of Tb8Te2C3, from Alexandria.

Values from the calculation:
The calculation puts the spin magnetization at 0.12 μB/f.u. The space group is C2/m. The electronic total energy is -6.002 eV per atom.

Lattice parameters (Å, degrees): 6.4476 7.3216 8.3520 116.00 104.47 90.00
With the nearest neighbours (Å) after each atom.
Fractional coordinates of all 13 atoms:
Tb  0.3867  0.8506  0.1836  2 C 2.47-2.49
Tb  0.3867  0.3330  0.1836  2 C 2.47-2.49
Tb  0.9093  0.5917  0.1834  2 C 2.46
Tb  0.6133  0.1494  0.8164  2 C 2.47-2.49
Tb  0.8924  0.0915  0.1830  3 C 2.49-2.52
Tb  0.1076  0.9085  0.8170  3 C 2.49-2.52
Tb  0.0907  0.4083  0.8166  2 C 2.46
Tb  0.6133  0.6670  0.8164  2 C 2.47-2.49
C  0.0000  0.2489  0.0000  6 Tb 2.46-2.49
C  0.0000  0.7511  0.0000  6 Tb 2.46-2.49
C  0.5000  0.0000  0.0000  6 Tb 2.47-2.52
Te  0.3225  0.2530  0.5059  6 Tb 3.10-3.18
Te  0.6775  0.7470  0.4941  6 Tb 3.10-3.18

The following is a GGA-PBE calculation of an optimized crystal structure of Pm2Zn3CdAg4, from Alexandria.

Values from the calculation:
The calculation puts the spin magnetization at 0.00 μB/f.u. The space group is P-4m2. Its formation energy from the elements is -206 meV/atom.

Lattice parameters (Å, degrees): 4.1840 4.1840 12.1693 90.00 90.00 90.00
With the nearest neighbours (Å) after each atom.
Fractional coordinates of all 10 atoms:
Pm  0.5000  0.0000  0.2391  4 Zn 3.21, 8 Ag 3.24-3.58
Pm  0.0000  0.5000  0.7609  4 Zn 3.21, 8 Ag 3.24-3.58
Ag  0.5000  0.0000  0.6516  3 Zn 2.57-2.79, 2 Cd 2.79
Ag  0.0000  0.0000  0.0000  4 Zn 2.67, 4 Ag 2.96
Ag  0.5000  0.5000  0.0000  4 Zn 2.67, 4 Ag 2.96
Ag  0.0000  0.5000  0.3484  3 Zn 2.57-2.79, 2 Cd 2.79
Zn  0.0000  0.5000  0.1369  5 Ag 2.57-2.67
Zn  0.5000  0.0000  0.8631  5 Ag 2.57-2.67
Zn  0.0000  0.0000  0.5000  4 Ag 2.79, 4 Cd 2.96
Cd  0.5000  0.5000  0.5000  4 Ag 2.79, 4 Zn 2.96

The following is a GGA-PBE calculation of an optimized crystal structure of CrCoRe2, from Alexandria.

Values from the calculation:
The calculation puts the spin magnetization at 0.50 μB/f.u. The space group is R3m. Its formation energy from the elements is 187 meV/atom.

Lattice parameters (Å, degrees): 2.6795 2.6795 8.7153 81.16 81.16 60.00
With the nearest neighbours (Å) after each atom.
Fractional coordinates of all 4 atoms:
Cr  0.5007  0.5007  0.4980  6 Re 2.66-2.68, 6 Cr 2.68
Re  0.0822  0.0822  0.7535  3 Co 2.64, 6 Re 2.68, 3 Cr 2.68
Re  0.2514  0.2514  0.2459  3 Co 2.60, 3 Cr 2.66, 6 Re 2.68
Co  0.6658  0.6658  0.0026  6 Re 2.60-2.64, 6 Co 2.68

The following is a GGA-PBE calculation of an optimized crystal structure of AgSe2Cl, from Alexandria.

Values from the calculation:
The calculation puts the spin magnetization at 0.00 μB/f.u. The space group is Imm2. The electronic total energy is -2.921 eV per atom.

Lattice parameters (Å, degrees): 5.9490 5.9490 5.9490 139.12 93.78 100.25
With the nearest neighbours (Å) after each atom.
Fractional coordinates of all 4 atoms:
Cl  0.3106  0.8106  0.5000  2 Ag 2.50
Se  0.9283  0.9283  0.0000  2 Se 2.41
Se  0.7676  0.2676  0.5000  2 Se 2.41
Ag  0.4935  0.4935  0.0000  2 Cl 2.50

The following is a GGA-PBE calculation of an optimized crystal structure of K2InW, from Alexandria.

Values from the calculation:
The calculation puts the spin magnetization at 1.18 μB/f.u. The space group is I4/mmm. Its formation energy from the elements is 1219 meV/atom.

Lattice parameters (Å, degrees): 6.6449 6.6449 6.6449 142.89 142.89 53.49
With the nearest neighbours (Å) after each atom.
Fractional coordinates of all 4 atoms:
K  0.5000  0.5000  0.0000  4 K 2.99
K  0.0000  0.0000  0.0000  4 K 2.99
In  0.7500  0.2500  0.5000  4 W 2.99
W  0.2500  0.7500  0.5000  4 In 2.99

no.,Fermi-level density of states (states/eV/atom)
1,0.1777
2,1.5312
3,0.6789
4,0.9064
5,0.7131
6,1.4352
7,0.2297
8,0.2022